i.
Crystalline BaTcSN2 at its relaxed geometry, computed with PBE.

Output
**ρ**: 3.9 g/cm³

abc: 4.4644 4.4644 6.3535
angles: 90.00 90.00 90.00
Last column: magnetic moment on the atom in μB.
Sites, in units of the cell vectors:
S 0.0000 0.0000 0.5000  0.07
N 0.0000 0.5000 0.0000  0.77
N 0.5000 0.0000 0.0000  0.77
Ba 0.0000 0.0000 0.0000  0.09
Tc 0.5000 0.5000 0.5000  3.95

---

ii.
Crystalline BaTcSN2 at its relaxed geometry, computed with PBE.

Output
**ρ**: 5.9 g/cm³

abc: 4.0782 4.0782 4.9775
angles: 90.00 90.00 90.00
Last column: magnetic moment on the atom in μB.
Sites, in units of the cell vectors:
S 0.0000 0.0000 0.5000  0.00
N 0.0000 0.5000 0.0000  0.10
N 0.5000 0.0000 0.0000  0.10
Ba 0.5000 0.5000 0.5000  0.00
Tc 0.0000 0.0000 0.0000  -0.08

---

Most stable structure - ii; separation to the second - 2.385 eV/atom.